[1]
## NdInF (GGA-PBE)

Data for NdInF after structural relaxation.

Results
V = 23.9 A^3/atom
Space group = No. 107
Electronic total energy = -4.7000 eV per atom
ΔE_f (raw) = -456 kJ/mol of formula units
DOS(E_F) = 3.10 states/eV per cell

```
data_NdInF
_space_group_name_H-M_alt 'P 1'
_space_group_IT_number 1
_cell_length_a 3.422
_cell_length_b 3.422
_cell_length_c 6.585
_cell_angle_alpha 105.06
_cell_angle_beta 105.06
_cell_angle_gamma 90.00
loop_
_space_group_symop_operation_xyz
'x,y,z'
loop_
_atom_site_label
_atom_site_type_symbol
_atom_site_fract_x
_atom_site_fract_y
_atom_site_fract_z
_atom_site_occupancy
In1 In 0.007 0.007 0.015 1
Nd1 Nd 0.724 0.724 0.448 1
F1 F 0.269 0.269 0.537 1
```

=====

[2]
## Nd2Sm7Y2 (GGA-PBE)

Data for Nd2Sm7Y2 after structural relaxation.

Results
V = 34.6 A^3/atom
Space group = No. 12
Electronic total energy = -4.8764 eV per atom
Formation energy from the elements = 0.169 eV/atom
DOS(E_F) = 15.36 states/eV per cell

```
data_Nd2Sm7Y2
_space_group_name_H-M_alt 'P 1'
_space_group_IT_number 1
_cell_length_a 8.497
_cell_length_b 6.789
_cell_length_c 6.789
_cell_angle_alpha 88.46
_cell_angle_beta 80.43
_cell_angle_gamma 80.43
loop_
_space_group_symop_operation_xyz
'x,y,z'
loop_
_atom_site_label
_atom_site_type_symbol
_atom_site_fract_x
_atom_site_fract_y
_atom_site_fract_z
_atom_site_occupancy
Nd1 Nd 0.847 0.399 0.399 1
Nd2 Nd 0.153 0.601 0.601 1
Sm1 Sm 0.184 0.099 0.504 1
Sm2 Sm 0.816 0.496 0.901 1
Sm3 Sm 0.816 0.901 0.496 1
Sm4 Sm 0.184 0.504 0.099 1
Sm5 Sm 0.000 0.000 0.000 1
Sm6 Sm 0.484 0.694 0.694 1
Sm7 Sm 0.516 0.306 0.306 1
Y1 Y 0.500 0.188 0.812 1
Y2 Y 0.500 0.812 0.188 1
```

=====

[3]
## BaClF (GGA-PBE)

Data for BaClF after structural relaxation.

Results
V = 30.0 A^3/atom
Space group = No. 62
Electronic total energy = -5.0676 eV per atom
ΔE_f (raw) = -923 kJ/mol of formula units
DOS(E_F) = 0.00 states/eV per cell

```
data_BaClF
_space_group_name_H-M_alt 'P 1'
_space_group_IT_number 1
_cell_length_a 4.635
_cell_length_b 7.113
_cell_length_c 10.911
_cell_angle_alpha 90.00
_cell_angle_beta 90.00
_cell_angle_gamma 90.00
loop_
_space_group_symop_operation_xyz
'x,y,z'
loop_
_atom_site_label
_atom_site_type_symbol
_atom_site_fract_x
_atom_site_fract_y
_atom_site_fract_z
_atom_site_occupancy
Ba1 Ba 0.750 0.789 0.408 1
Ba2 Ba 0.250 0.289 0.092 1
Ba3 Ba 0.250 0.211 0.592 1
Ba4 Ba 0.750 0.711 0.908 1
Cl1 Cl 0.750 0.974 0.145 1
Cl2 Cl 0.250 0.474 0.355 1
Cl3 Cl 0.250 0.026 0.855 1
Cl4 Cl 0.750 0.526 0.645 1
F1 F 0.750 0.450 0.076 1
F2 F 0.250 0.950 0.424 1
F3 F 0.250 0.550 0.924 1
F4 F 0.750 0.050 0.576 1
```

=====

[4]
## Ho7Al4Tl (GGA-PBE)

Data for Ho7Al4Tl after structural relaxation.

Results
V = 26.4 A^3/atom
Space group = No. 12
Electronic total energy = -4.2352 eV per atom
Formation energy from the elements = -0.120 eV/atom
DOS(E_F) = 11.64 states/eV per cell

```
data_Ho7Al4Tl
_space_group_name_H-M_alt 'P 1'
_space_group_IT_number 1
_cell_length_a 5.667
_cell_length_b 8.923
_cell_length_c 7.482
_cell_angle_alpha 67.29
_cell_angle_beta 67.74
_cell_angle_gamma 71.48
loop_
_space_group_symop_operation_xyz
'x,y,z'
loop_
_atom_site_label
_atom_site_type_symbol
_atom_site_fract_x
_atom_site_fract_y
_atom_site_fract_z
_atom_site_occupancy
Ho1 Ho 0.810 0.867 0.512 1
Ho2 Ho 0.190 0.133 0.488 1
Ho3 Ho 0.082 0.578 0.258 1
Ho4 Ho 0.918 0.422 0.742 1
Ho5 Ho 0.259 0.707 0.774 1
Ho6 Ho 0.500 0.000 0.000 1
Ho7 Ho 0.741 0.293 0.226 1
Al1 Al 0.519 0.336 0.625 1
Al2 Al 0.481 0.664 0.375 1
Al3 Al 0.678 0.660 0.984 1
Al4 Al 0.322 0.340 0.016 1
Tl1 Tl 0.000 0.000 0.000 1
```

=====

[5]
## AlCrCl2 (GGA-PBE)

Data for AlCrCl2 after structural relaxation.

Results
V = 19.0 A^3/atom
Space group = No. 160
Electronic total energy = -4.8159 eV per atom
ΔE_f (raw) = -213 kJ/mol of formula units
DOS(E_F) = 0.35 states/eV per cell

```
data_AlCrCl2
_space_group_name_H-M_alt 'P 1'
_space_group_IT_number 1
_cell_length_a 9.099
_cell_length_b 9.099
_cell_length_c 9.099
_cell_angle_alpha 19.85
_cell_angle_beta 19.85
_cell_angle_gamma 19.85
loop_
_space_group_symop_operation_xyz
'x,y,z'
loop_
_atom_site_label
_atom_site_type_symbol
_atom_site_fract_x
_atom_site_fract_y
_atom_site_fract_z
_atom_site_occupancy
Cr1 Cr 0.497 0.497 0.497 1
Al1 Al 0.758 0.758 0.758 1
Cl1 Cl 0.028 0.028 0.028 1
Cl2 Cl 0.216 0.216 0.216 1
```

=====

[6]
## LiErF4 (GGA-PBE)

Data for LiErF4 after structural relaxation.

Results
V = 13.8 A^3/atom
Space group = No. 14
Electronic total energy = -6.0087 eV per atom
ΔE_f (raw) = -2131 kJ/mol of formula units
DOS(E_F) = 0.00 states/eV per cell

```
data_LiErF4
_space_group_name_H-M_alt 'P 1'
_space_group_IT_number 1
_cell_length_a 5.055
_cell_length_b 6.166
_cell_length_c 5.757
_cell_angle_alpha 113.04
_cell_angle_beta 90.00
_cell_angle_gamma 90.00
loop_
_space_group_symop_operation_xyz
'x,y,z'
loop_
_atom_site_label
_atom_site_type_symbol
_atom_site_fract_x
_atom_site_fract_y
_atom_site_fract_z
_atom_site_occupancy
Li1 Li 0.000 0.500 0.500 1
Li2 Li 0.500 0.000 0.500 1
Er1 Er 0.500 0.500 0.000 1
Er2 Er 0.000 0.000 0.000 1
F1 F 0.306 0.845 0.157 1
F2 F 0.194 0.345 0.157 1
F3 F 0.723 0.641 0.340 1
F4 F 0.223 0.859 0.660 1
F5 F 0.777 0.141 0.340 1
F6 F 0.277 0.359 0.660 1
F7 F 0.806 0.655 0.843 1
F8 F 0.694 0.155 0.843 1
```

=====

[7]
## Mg2AlSi2Ir5 (GGA-PBE)

Data for Mg2AlSi2Ir5 after structural relaxation.

Results
V = 15.1 A^3/atom
Space group = No. 127
Electronic total energy = -6.8216 eV per atom
ΔE_f (raw) = -592 kJ/mol of formula units
DOS(E_F) = 5.79 states/eV per cell

```
data_Mg2AlSi2Ir5
_space_group_name_H-M_alt 'P 1'
_space_group_IT_number 1
_cell_length_a 3.331
_cell_length_b 9.514
_cell_length_c 9.514
_cell_angle_alpha 90.00
_cell_angle_beta 90.00
_cell_angle_gamma 90.00
loop_
_space_group_symop_operation_xyz
'x,y,z'
loop_
_atom_site_label
_atom_site_type_symbol
_atom_site_fract_x
_atom_site_fract_y
_atom_site_fract_z
_atom_site_occupancy
Mg1 Mg 0.000 0.671 0.171 1
Mg2 Mg 0.000 0.329 0.829 1
Mg3 Mg 0.000 0.171 0.329 1
Mg4 Mg 0.000 0.829 0.671 1
Al1 Al 0.000 0.000 0.000 1
Al2 Al 0.000 0.500 0.500 1
Si1 Si 0.000 0.130 0.630 1
Si2 Si 0.000 0.870 0.370 1
Si3 Si 0.000 0.630 0.870 1
Si4 Si 0.000 0.370 0.130 1
Ir1 Ir 0.500 0.203 0.072 1
Ir2 Ir 0.500 0.797 0.928 1
Ir3 Ir 0.500 0.072 0.797 1
Ir4 Ir 0.500 0.703 0.428 1
Ir5 Ir 0.500 0.928 0.203 1
Ir6 Ir 0.500 0.297 0.572 1
Ir7 Ir 0.500 0.572 0.703 1
Ir8 Ir 0.500 0.428 0.297 1
Ir9 Ir 0.500 0.500 0.000 1
Ir10 Ir 0.500 0.000 0.500 1
```

=====

[8]
## ZrSnS (GGA-PBE)

Data for ZrSnS after structural relaxation.

Results
V = 22.3 A^3/atom
Space group = No. 69
Electronic total energy = -6.3503 eV per atom
ΔE_f (raw) = -229 kJ/mol of formula units
DOS(E_F) = 3.35 states/eV per cell

```
data_ZrSnS
_space_group_name_H-M_alt 'P 1'
_space_group_IT_number 1
_cell_length_a 5.042
_cell_length_b 5.042
_cell_length_c 6.253
_cell_angle_alpha 107.79
_cell_angle_beta 107.79
_cell_angle_gamma 104.02
loop_
_space_group_symop_operation_xyz
'x,y,z'
loop_
_atom_site_label
_atom_site_type_symbol
_atom_site_fract_x
_atom_site_fract_y
_atom_site_fract_z
_atom_site_occupancy
Sn1 Sn 0.684 0.316 0.000 1
Sn2 Sn 0.316 0.684 0.000 1
S1 S 0.821 0.821 0.643 1
S2 S 0.179 0.179 0.357 1
Zr1 Zr 0.750 0.250 0.500 1
Zr2 Zr 0.250 0.750 0.500 1
```

=====

[9]
## Cs3Ag2Pb4 (GGA-PBE)

Data for Cs3Ag2Pb4 after structural relaxation.

Results
V = 42.1 A^3/atom
Space group = No. 12
Electronic total energy = -2.6353 eV per atom
Formation energy from the elements = -0.069 eV/atom
DOS(E_F) = 2.56 states/eV per cell

```
data_Cs3Ag2Pb4
_space_group_name_H-M_alt 'P 1'
_space_group_IT_number 1
_cell_length_a 5.021
_cell_length_b 8.364
_cell_length_c 9.805
_cell_angle_alpha 89.28
_cell_angle_beta 75.20
_cell_angle_gamma 72.55
loop_
_space_group_symop_operation_xyz
'x,y,z'
loop_
_atom_site_label
_atom_site_type_symbol
_atom_site_fract_x
_atom_site_fract_y
_atom_site_fract_z
_atom_site_occupancy
Cs1 Cs 0.579 0.199 0.645 1
Cs2 Cs 0.000 0.000 0.000 1
Cs3 Cs 0.421 0.801 0.355 1
Ag1 Ag 0.697 0.382 0.226 1
Ag2 Ag 0.303 0.618 0.774 1
Pb1 Pb 0.288 0.378 0.046 1
Pb2 Pb 0.858 0.662 0.621 1
Pb3 Pb 0.142 0.338 0.379 1
Pb4 Pb 0.712 0.622 0.954 1
```

=====

[10]
## RhAuNF2 (GGA-PBE)

Data for RhAuNF2 after structural relaxation.

Results
V = 14.1 A^3/atom
Space group = No. 123
Electronic total energy = -4.5554 eV per atom
ΔE_f (raw) = -8 kJ/mol of formula units
DOS(E_F) = 2.36 states/eV per cell

```
data_RhAuNF2
_space_group_name_H-M_alt 'P 1'
_space_group_IT_number 1
_cell_length_a 4.389
_cell_length_b 4.389
_cell_length_c 3.664
_cell_angle_alpha 90.00
_cell_angle_beta 90.00
_cell_angle_gamma 90.00
loop_
_space_group_symop_operation_xyz
'x,y,z'
loop_
_atom_site_label
_atom_site_type_symbol
_atom_site_fract_x
_atom_site_fract_y
_atom_site_fract_z
_atom_site_occupancy
Rh1 Rh 0.000 0.000 0.000 1
N1 N 0.000 0.000 0.500 1
Au1 Au 0.500 0.500 0.500 1
F1 F 0.000 0.500 0.000 1
F2 F 0.500 0.000 0.000 1
```

=====

- Which formula does entry 2 have?
  Nd2Sm7Y2